1.
{"formula": "PmBeCo", "functional": "PBE-GGA", "state": "optimized geometry", "lattice": [[-2.743, -1.456, 2.517], [-0.372, -3.256, -2.289], [4.817, -3.015, 3.505]], "species": ["Pm", "Pm", "Be", "Be", "Co", "Co"], "fractional_positions": [[0.750, 0.750, 0.306], [0.250, 0.250, 0.694], [0.250, 0.250, 0.138], [0.750, 0.750, 0.862], [0.250, 0.750, 0.000], [0.750, 0.250, 0.000]], "e_above_lowest_polymorph_mev_per_atom": 0, "n_ef_per_ev_atom": 0.8957, "formation_enthalpy_0k_ev_per_atom": -0.1489, "magmom_total_mub_per_atom": 0.0000}

***

2.
{"formula": "TbPmNd2Dy5", "functional": "PBE-GGA", "state": "optimized geometry", "lattice": [[-1.399, -4.889, 7.069], [2.088, -7.141, -4.525], [7.136, 6.884, 0.810]], "species": ["Tb", "Tb", "Pm", "Pm", "Nd", "Nd", "Nd", "Nd", "Dy", "Dy", "Dy", "Dy", "Dy", "Dy", "Dy", "Dy", "Dy", "Dy"], "fractional_positions": [[0.250, 0.750, 0.500], [0.750, 0.250, 0.500], [0.250, 0.250, 0.500], [0.750, 0.750, 0.500], [0.118, 0.382, 0.000], [0.618, 0.118, 0.000], [0.382, 0.882, 0.000], [0.882, 0.618, 0.000], [0.928, 0.428, 0.277], [0.651, 0.151, 0.723], [0.072, 0.572, 0.723], [0.151, 0.072, 0.723], [0.572, 0.651, 0.723], [0.849, 0.928, 0.277], [0.428, 0.349, 0.277], [0.349, 0.849, 0.277], [0.500, 0.500, 0.000], [0.000, 0.000, 0.000]], "n_ef_per_ev_atom": 1.1407, "formation_enthalpy_0k_ev_per_atom": 0.2632, "magmom_total_mub_per_atom": 0.0000}

***

3.
{"formula": "AgSbBr3", "functional": "PBE-GGA", "state": "optimized geometry", "lattice": [[7.903, -0.153, -0.147], [2.285, 9.326, 1.738], [2.285, 2.070, 9.259]], "species": ["Ag", "Ag", "Ag", "Ag", "Sb", "Sb", "Sb", "Sb", "Br", "Br", "Br", "Br", "Br", "Br", "Br", "Br", "Br", "Br", "Br", "Br"], "fractional_positions": [[0.750, 0.351, 0.649], [0.250, 0.056, 0.944], [0.750, 0.944, 0.056], [0.250, 0.649, 0.351], [0.860, 0.408, 0.107], [0.360, 0.107, 0.408], [0.640, 0.893, 0.592], [0.140, 0.592, 0.893], [0.444, 0.359, 0.415], [0.584, 0.088, 0.781], [0.944, 0.415, 0.359], [0.056, 0.585, 0.641], [0.856, 0.990, 0.342], [0.084, 0.781, 0.088], [0.556, 0.641, 0.585], [0.916, 0.219, 0.912], [0.416, 0.912, 0.219], [0.356, 0.342, 0.990], [0.144, 0.010, 0.658], [0.644, 0.658, 0.010]], "e_above_lowest_polymorph_mev_per_atom": 0, "raw_formation_energy_ev_per_fu": -1.8, "magmom_total_mub_per_atom": 0.0000}

***

4.
{"formula": "HgTe2O4", "functional": "PBE-GGA", "state": "optimized geometry", "lattice": [[8.244, 0.313, 0.035], [-0.300, 9.432, -0.036], [-3.745, -5.034, 4.513]], "species": ["Hg", "Hg", "Te", "Te", "Te", "Te", "O", "O", "O", "O", "O", "O", "O", "O"], "fractional_positions": [[0.201, 0.984, 0.729], [0.467, 0.488, 0.413], [0.660, 0.353, 0.786], [0.618, 0.893, 0.360], [0.789, 0.327, 0.243], [0.211, 0.446, 0.759], [0.042, 0.291, 0.329], [0.383, 0.724, 0.245], [0.975, 0.535, 0.677], [0.714, 0.153, 0.795], [0.562, 0.095, 0.364], [0.387, 0.270, 0.663], [0.430, 0.664, 0.903], [0.812, 0.526, 0.235]], "raw_formation_energy_ev_per_fu": -5.4, "n_ef_per_ev_atom": 0.0000, "magmom_total_mub_per_atom": 0.0000}

***

5.
{"formula": "LiZr2Pb", "functional": "PBE-GGA", "state": "optimized geometry", "lattice": [[3.324, 0.000, 0.000], [0.000, 4.246, 0.000], [0.000, 0.000, 6.109]], "species": ["Li", "Pb", "Zr", "Zr"], "fractional_positions": [[0.500, 0.500, 0.250], [0.500, 0.500, 0.750], [0.000, 0.000, 0.010], [0.000, 0.000, 0.490]], "n_ef_per_ev_atom": 0.4966, "formation_enthalpy_0k_ev_per_atom": -0.0056, "magmom_total_mub_per_atom": 0.0000}

***

6.
{"formula": "PrScAl2Au4", "functional": "PBE-GGA", "state": "optimized geometry", "lattice": [[-1.107, 3.338, -2.987], [-1.887, -1.079, -4.070], [-8.918, 1.287, 1.179]], "species": ["Pr", "Sc", "Al", "Al", "Au", "Au", "Au", "Au"], "fractional_positions": [[0.000, 0.000, 0.000], [0.500, 0.500, 0.500], [0.760, 0.760, 0.721], [0.240, 0.240, 0.279], [0.394, 0.394, 0.817], [0.873, 0.873, 0.382], [0.127, 0.127, 0.618], [0.606, 0.606, 0.183]], "n_ef_per_ev_atom": 0.5657, "formation_enthalpy_0k_ev_per_atom": -0.6879, "magmom_total_mub_per_atom": 0.0000}